## CoPRu (SCAN)

Data for a crystal of CoPRu relaxed with PBEsol.

Calculated values
The calculation puts the density of states at the Fermi level at 1.92 states/eV/f.u. Its space group is Imm2, No. 44. For the total moment, the calculation gives 2.3 μB/f.u. The energy relative to the elements is 0.04 eV per atom.

abc: 4.2203 4.2203 4.2203
angles: 141.52 129.46 65.27
Positions (direct):
Co 0.0000 0.0000 0.0000
P 0.6787 0.6787 0.0000
Ru 0.3453 0.3453 0.0000



## Ti3SiSe (SCAN)

Data for a crystal of Ti3SiSe relaxed with PBEsol.

Calculated values
The calculation puts the density of states at the Fermi level at 5.61 states/eV/f.u. Its space group is Pm-3m, No. 221. For the total moment, the calculation gives 0.0 μB/f.u. As for the uncorrected formation energy: 0.190 eV/atom.

abc: 4.5652 4.5652 4.5652
angles: 90.00 90.00 90.00
Positions (direct):
Ti 0.0000 0.0000 0.5000
Ti 0.0000 0.5000 0.0000
Ti 0.5000 0.0000 0.0000
Si 0.5000 0.5000 0.5000
Se 0.0000 0.0000 0.0000



## AlAg7 (SCAN)

Data for a crystal of AlAg7 relaxed with PBEsol.

Calculated values
The calculation puts the density of states at the Fermi level at 2.06 states/eV/f.u. Its space group is P2/m, No. 10. For the total moment, the calculation gives 0.0 μB/f.u. The energy relative to the elements is -0.04 eV per atom. The calculation puts the energy above the most stable polymorph in this dataset at 0.011 eV/atom.

abc: 4.9457 2.8533 9.4537
angles: 90.00 100.46 90.00
Positions (direct):
Al 0.0000 0.0000 0.0000
Ag 0.0000 0.5000 0.5000
Ag 0.2431 0.5000 0.2433
Ag 0.2498 0.0000 0.7505
Ag 0.5000 0.0000 0.5000
Ag 0.5000 0.5000 0.0000
Ag 0.7502 0.0000 0.2495
Ag 0.7569 0.5000 0.7567